DFT (PBE) results for a relaxed Dy2PuSb crystal.

Computed properties:
E above lowest polymorph in meV/atom: 0
Spin magnetization in Bohr magnetons per cell: 6.5
Raw formation energy in eV/f.u.: -1.7
Crystal system: tetragonal

a b c (Å): 4.571 4.849 4.849
angles (deg): 90.00 90.00 90.00
Each line ends with the local moment (μB).
Atoms (fractional coordinates):
1 Sb 0.500 0.000 0.000  -0.04
2 Dy 0.000 0.000 0.500  0.27
3 Dy 0.000 0.500 0.000  0.27
4 Pu 0.500 0.500 0.500  5.58

DFT (PBE) results for a relaxed Dy2PuSb3 crystal.

Computed properties:
Spin magnetization in Bohr magnetons per cell: 10.2
Raw formation energy in eV/f.u.: -5.7
Crystal system: orthorhombic

a b c (Å): 6.213 6.222 9.834
angles (deg): 108.44 90.00 90.00
Each line ends with the local moment (μB).
Atoms (fractional coordinates):
1 Dy 0.500 0.834 0.668  -0.01
2 Dy 0.500 0.166 0.332  -0.01
3 Dy 0.000 0.000 0.000  -0.03
4 Dy 0.500 0.500 0.000  -0.01
5 Pu 0.000 0.333 0.666  5.15
6 Pu 0.000 0.667 0.334  5.15
7 Sb 0.500 0.334 0.667  -0.06
8 Sb 0.000 0.834 0.667  -0.08
9 Sb 0.500 0.666 0.333  -0.06
10 Sb 0.000 0.166 0.333  -0.08
11 Sb 0.000 0.500 0.000  -0.06
12 Sb 0.500 0.000 0.000  0.00

DFT (PBE) results for a relaxed DyPu2Sb3 crystal.

Computed properties:
Spin magnetization in Bohr magnetons per cell: 10.1
Raw formation energy in eV/f.u.: -4.6
Crystal system: orthorhombic

a b c (Å): 4.411 6.233 7.634
angles (deg): 114.09 106.79 90.00
Each line ends with the local moment (μB).
Atoms (fractional coordinates):
1 Dy 0.000 0.500 0.000  -0.08
2 Pu 0.666 0.166 0.333  5.13
3 Pu 0.334 0.834 0.667  5.13
4 Sb 0.333 0.333 0.666  -0.10
5 Sb 0.000 0.000 0.000  -0.11
6 Sb 0.667 0.667 0.334  -0.10

DFT (PBE) results for a relaxed DyPuSc2Sb4 crystal.

Computed properties:
Spin magnetization in Bohr magnetons per cell: 5.1
Raw formation energy in eV/f.u.: -7.1
Crystal system: monoclinic

a b c (Å): 4.294 7.429 7.397
angles (deg): 109.52 90.00 90.00
Each line ends with the local moment (μB).
Atoms (fractional coordinates):
1 Dy 0.000 0.000 0.000  0.00
2 Pu 0.500 0.500 0.000  5.19
3 Sc 0.500 0.000 0.500  -0.04
4 Sc 0.000 0.500 0.500  0.01
5 Sb 0.500 0.255 0.266  -0.03
6 Sb 0.500 0.745 0.734  -0.03
7 Sb 0.000 0.244 0.734  -0.06
8 Sb 0.000 0.756 0.266  -0.06

DFT (PBE) results for a relaxed SmDyPu2Sb4 crystal.

Computed properties:
Spin magnetization in Bohr magnetons per cell: 10.1
Raw formation energy in eV/f.u.: -7.0
Crystal system: monoclinic

a b c (Å): 4.431 7.675 7.651
angles (deg): 109.52 90.00 90.00
Each line ends with the local moment (μB).
Atoms (fractional coordinates):
1 Sm 0.500 0.500 0.000  -0.03
2 Dy 0.000 0.000 0.000  -0.07
3 Pu 0.500 0.000 0.500  5.15
4 Pu 0.000 0.500 0.500  5.18
5 Sb 0.500 0.248 0.251  -0.09
6 Sb 0.500 0.752 0.749  -0.09
7 Sb 0.000 0.246 0.747  -0.08
8 Sb 0.000 0.754 0.253  -0.08

DFT (PBE) results for a relaxed SmDy2PuSb4 crystal.

Computed properties:
Spin magnetization in Bohr magnetons per cell: 5.0
Raw formation energy in eV/f.u.: -8.0
Crystal system: monoclinic

a b c (Å): 4.423 7.644 7.651
angles (deg): 70.53 90.00 90.00
Each line ends with the local moment (μB).
Atoms (fractional coordinates):
1 Sm 0.500 0.500 0.000  0.00
2 Dy 0.000 0.000 0.000  -0.05
3 Dy 0.500 0.000 0.500  -0.01
4 Pu 0.000 0.500 0.500  5.19
5 Sb 0.000 0.754 0.747  -0.03
6 Sb 0.000 0.246 0.253  -0.03
7 Sb 0.500 0.753 0.251  -0.06
8 Sb 0.500 0.247 0.749  -0.06

DFT (PBE) results for a relaxed DyPuSbTe crystal.

Computed properties:
Spin magnetization in Bohr magnetons per cell: 5.7
Raw formation energy in eV/f.u.: -4.3
Crystal system: trigonal

a b c (Å): 4.413 4.413 7.631
angles (deg): 73.19 73.19 60.00
Each line ends with the local moment (μB).
Atoms (fractional coordinates):
1 Dy 0.696 0.696 0.911  0.02
2 Pu 0.192 0.192 0.423  5.43
3 Sb 0.442 0.442 0.673  -0.06
4 Te 0.945 0.945 0.164  -0.05

DFT (PBE) results for a relaxed Dy2PuThSb4 crystal.

Computed properties:
Spin magnetization in Bohr magnetons per cell: 5.4
Raw formation energy in eV/f.u.: -7.7
Crystal system: monoclinic

a b c (Å): 4.441 7.661 7.679
angles (deg): 70.45 90.00 90.00
Each line ends with the local moment (μB).
Atoms (fractional coordinates):
1 Dy 0.000 0.000 0.000  0.01
2 Dy 0.500 0.000 0.500  -0.02
3 Pu 0.500 0.500 0.000  5.31
4 Th 0.000 0.500 0.500  0.01
5 Sb 0.000 0.755 0.751  -0.05
6 Sb 0.000 0.245 0.249  -0.05
7 Sb 0.500 0.757 0.246  -0.02
8 Sb 0.500 0.243 0.754  -0.02

DFT (PBE) results for a relaxed DyPuTh2Sb5 crystal.

Computed properties:
Spin magnetization in Bohr magnetons per cell: 4.9
Raw formation energy in eV/f.u.: -0.7
Crystal system: tetragonal

a b c (Å): 5.285 5.285 11.504
angles (deg): 90.00 90.00 90.00
Each line ends with the local moment (μB).
Atoms (fractional coordinates):
1 Dy 0.000 0.000 0.500  -0.04
2 Pu 0.000 0.000 0.000  5.35
3 Th 0.500 0.500 0.305  -0.04
4 Th 0.500 0.500 0.695  -0.04
5 Sb 0.000 0.500 0.500  -0.01
6 Sb 0.500 0.000 0.500  -0.01
7 Sb 0.000 0.000 0.750  -0.05
8 Sb 0.000 0.000 0.250  -0.05
9 Sb 0.500 0.500 0.000  -0.08

DFT (PBE) results for a relaxed DyPuTlSb crystal.

Computed properties:
Spin magnetization in Bohr magnetons per cell: 6.3
Raw formation energy in eV/f.u.: -1.5
Crystal system: cubic

a b c (Å): 5.360 5.360 5.360
angles (deg): 60.00 60.00 60.00
Each line ends with the local moment (μB).
Atoms (fractional coordinates):
1 Sb 0.500 0.500 0.500  -0.02
2 Tl 0.000 0.000 0.000  0.01
3 Dy 0.750 0.750 0.750  0.29
4 Pu 0.250 0.250 0.250  5.51

DFT (PBE) results for a relaxed DyTmPu2Sb4 crystal.

Computed properties:
Spin magnetization in Bohr magnetons per cell: 10.1
Raw formation energy in eV/f.u.: -6.8
Crystal system: monoclinic

a b c (Å): 4.400 7.621 7.586
angles (deg): 109.56 90.00 90.00
Each line ends with the local moment (μB).
Atoms (fractional coordinates):
1 Dy 0.500 0.500 0.000  -0.07
2 Tm 0.000 0.000 0.000  -0.09
3 Pu 0.500 0.000 0.500  5.17
4 Pu 0.000 0.500 0.500  5.18
5 Sb 0.500 0.247 0.247  -0.09
6 Sb 0.500 0.753 0.753  -0.09
7 Sb 0.000 0.249 0.752  -0.08
8 Sb 0.000 0.751 0.248  -0.08

DFT (PBE) results for a relaxed Dy2TmPuSb4 crystal.

Computed properties:
Spin magnetization in Bohr magnetons per cell: 5.0
Raw formation energy in eV/f.u.: -7.8
Crystal system: monoclinic

a b c (Å): 4.390 7.584 7.590
angles (deg): 109.45 90.00 90.00
Each line ends with the local moment (μB).
Atoms (fractional coordinates):
1 Dy 0.500 0.000 0.500  -0.05
2 Dy 0.000 0.500 0.500  0.00
3 Tm 0.000 0.000 0.000  -0.01
4 Pu 0.500 0.500 0.000  5.18
5 Sb 0.500 0.247 0.248  -0.03
6 Sb 0.500 0.753 0.752  -0.03
7 Sb 0.000 0.248 0.750  -0.06
8 Sb 0.000 0.752 0.250  -0.06

> Among the records above, which one has the lowest spin magnetization?

DyPuTh2Sb5

> Which formula does entry 3 have?

DyPu2Sb3

> Which value of spin magnetization does entry 3 give?

10.1 Bohr magnetons per cell

> Which value of spin magnetization does entry 2 give?

10.2 Bohr magnetons per cell